First-principles (GGA-PBE) data for crystalline Li2LaAs2 at its relaxed geometry, as listed in Alexandria.

Results
SG ... I4/mmm, No. 139
Formation energy ... -950.4 meV per atom
Electronic total energy ... -22.806 eV per cell
D(E_F) ... 0.6659 states/eV per atom

Cell and atoms, written as extended XYZ:
```
5
Lattice="4.180 0.000 0.000 0.000 4.180 0.000 2.090 2.090 5.720" Properties=species:S:1:pos:R:3 pbc="T T T"
Li 4.180 2.090 2.860
Li 2.090 4.180 2.860
As 2.090 2.090 1.345
As 4.180 4.180 4.376
La 0.000 0.000 0.000
```

=====

First-principles (GGA-PBE) data for crystalline Y3GaC at its relaxed geometry, as listed in Alexandria.

Results
SG ... Pm-3m, No. 221
Formation energy ... -483.0 meV per atom
Distance to the lowest polymorph of the same formula ... 0 meV per atom
Electronic total energy ... -34.058 eV per cell
D(E_F) ... 0.0992 states/eV per atom

Cell and atoms, written as extended XYZ:
```
5
Lattice="-4.387 -1.574 -1.417 -1.290 -0.600 4.659 -1.680 4.571 0.124" Properties=species:S:1:pos:R:3 pbc="T T T"
Ga -3.679 1.198 1.683
Y -2.193 -0.787 -0.709
Y -0.645 -0.300 2.330
Y -0.840 2.285 0.062
C 0.000 0.000 0.000
```

=====

Calculated magnetization in order - 0.0; 0.0 μB/cell